No. 1
## Hf4AlCuC2 (PBE-GGA)

Data for crystalline Hf4AlCuC2 at its relaxed geometry.

Space group   No. 187

Lattice parameters (Å, degrees): 3.260 3.260 14.017 90.00 90.00 120.00
Element x y z (fractional)
Hf (0.000, 0.000, 0.151)
Hf (0.000, 0.000, 0.849)
Hf (0.667, 0.333, 0.333)
Hf (0.667, 0.333, 0.667)
Al (0.000, 0.000, 0.500)
Cu (0.667, 0.333, 0.000)
C (0.333, 0.667, 0.244)
C (0.333, 0.667, 0.756)

---

No. 2
## Lu4AlCuC2 (PBE-GGA)

Data for crystalline Lu4AlCuC2 at its relaxed geometry.

Space group   No. 187

Lattice parameters (Å, degrees): 3.511 3.511 14.386 90.00 90.00 120.00
Element x y z (fractional)
Lu (0.000, 0.000, 0.145)
Lu (0.000, 0.000, 0.855)
Lu (0.667, 0.333, 0.327)
Lu (0.667, 0.333, 0.673)
Al (0.000, 0.000, 0.500)
Cu (0.667, 0.333, 0.000)
C (0.333, 0.667, 0.233)
C (0.333, 0.667, 0.767)

---

No. 3
## AlCuMo4C2 (PBE-GGA)

Data for crystalline AlCuMo4C2 at its relaxed geometry.

Space group   No. 187

Lattice parameters (Å, degrees): 3.044 3.044 13.281 90.00 90.00 120.00
Element x y z (fractional)
Al (0.000, 0.000, 0.000)
Cu (0.667, 0.333, 0.500)
Mo (0.000, 0.000, 0.340)
Mo (0.000, 0.000, 0.660)
Mo (0.667, 0.333, 0.163)
Mo (0.667, 0.333, 0.837)
C (0.333, 0.667, 0.252)
C (0.333, 0.667, 0.748)

---

No. 4
## Sc4AlCuC2 (PBE-GGA)

Data for crystalline Sc4AlCuC2 at its relaxed geometry.

Space group   No. 187

Lattice parameters (Å, degrees): 3.329 3.329 13.947 90.00 90.00 120.00
Element x y z (fractional)
Sc (0.000, 0.000, 0.149)
Sc (0.000, 0.000, 0.851)
Sc (0.667, 0.333, 0.325)
Sc (0.667, 0.333, 0.675)
Al (0.000, 0.000, 0.500)
Cu (0.667, 0.333, 0.000)
C (0.333, 0.667, 0.234)
C (0.333, 0.667, 0.766)

---

Number 1: total magnetic moment 0.01 μB/f.u., total energy -8.782 eV/atom. Number 2: total magnetic moment 0.00 μB/f.u., total energy -5.793 eV/atom. Number 3: total magnetic moment 0.00 μB/f.u., total energy -8.645 eV/atom. Number 4: total magnetic moment 0.01 μB/f.u., total energy -6.771 eV/atom.